Entry 1:
The following is a DFT calculation (PBE) of an optimized crystal structure of MgPPb2. Values from VASP.

The raw total energy is -3.667 eV/atom. The value obtained for the formation energy is -0.06 eV/atom. The value obtained for the energy above the most stable polymorph in this dataset is 0.000 eV/atom. Its space group is Immm (71). As for the theoretical density: 7.49 g/cm³.

Structure (Quantum ESPRESSO input):
```
&SYSTEM
  ibrav = 0, nat = 4, ntyp = 3
/
ATOMIC_SPECIES
Mg 24.30 Mg.upf
P 30.97 P.upf
Pb 207.20 Pb.upf
CELL_PARAMETERS angstrom
7.9175 0.0332 -0.0278
7.0693 3.5655 -0.0278
0.9444 0.2268 3.7168
ATOMIC_POSITIONS angstrom
Mg 11.9483 2.8691 2.7459
P 3.9828 0.9564 0.9153
Pb 13.8426 3.3240 0.2521
Pb 9.1097 2.1875 1.5229
```

---

Entry 2:
The following is a DFT calculation (PBE) of an optimized crystal structure of MgP2Pt7Pb2. Values from VASP.

The raw total energy is -5.674 eV/atom. The value obtained for the formation energy is -0.50 eV/atom. Its space group is I4/mmm (139). As for the theoretical density: 13.37 g/cm³.

Structure (Quantum ESPRESSO input):
```
&SYSTEM
  ibrav = 0, nat = 12, ntyp = 4
/
ATOMIC_SPECIES
Mg 24.30 Mg.upf
P 30.97 P.upf
Pt 195.08 Pt.upf
Pb 207.20 Pb.upf
CELL_PARAMETERS angstrom
3.9473 -0.0021 0.0114
0.0027 3.9473 0.0114
1.9375 1.9351 14.8856
ATOMIC_POSITIONS angstrom
Mg 0.0000 0.0000 0.0000
P 3.9199 3.9151 11.5448
P 1.9677 1.9653 3.3635
Pt 1.9750 1.9726 0.0114
Pt 1.9584 1.9560 5.6509
Pt 3.9291 3.9243 9.2575
Pt 3.9455 1.9689 2.0907
Pt 1.9737 3.9430 2.0907
Pt 3.9138 1.9373 12.8176
Pt 1.9421 3.9115 12.8176
Pb 3.9331 3.9283 6.2733
Pb 1.9544 1.9521 8.6350
```

---

Entry 3:
The following is a DFT calculation (PBE) of an optimized crystal structure of MgP3Pt12Pb2. Values from VASP.

The raw total energy is -5.679 eV/atom. The value obtained for the formation energy is -0.25 eV/atom. Its space group is R-3m (166). As for the theoretical density: 13.99 g/cm³.

Structure (Quantum ESPRESSO input):
```
&SYSTEM
  ibrav = 0, nat = 18, ntyp = 4
/
ATOMIC_SPECIES
Mg 24.30 Mg.upf
P 30.97 P.upf
Pt 195.08 Pt.upf
Pb 207.20 Pb.upf
CELL_PARAMETERS angstrom
-6.4658 3.0210 -2.4493
-4.5203 -4.8366 -3.6202
-6.0961 -2.0938 3.9225
ATOMIC_POSITIONS angstrom
Mg 0.0000 0.0000 0.0000
P -3.2329 1.5105 -1.2247
P -2.2602 -2.4183 -1.8101
P -3.0480 -1.0469 1.9612
Pt -9.3486 -2.5142 1.3397
Pt -11.8335 -2.3746 -3.7263
Pt -11.6569 -4.8170 -0.6837
Pt -9.5469 0.2291 -2.0777
Pt -12.5859 -1.0649 -0.1245
Pt -8.5034 -3.9853 -2.7057
Pt -7.7336 -1.3952 -3.4868
Pt -5.2487 -1.5348 1.5792
Pt -5.4253 0.9076 -1.4634
Pt -7.5353 -4.1385 -0.0693
Pt -4.4963 -2.8446 -2.0225
Pt -8.5787 0.0759 0.5587
Pb -10.3959 -2.3792 -1.3067
Pb -6.6863 -1.5302 -0.8404
```

---

Entry 4:
The following is a DFT calculation (PBE) of an optimized crystal structure of RbMgPPb. Values from VASP.

The raw total energy is -3.272 eV/atom. The value obtained for the formation energy is -0.35 eV/atom. Its space group is P4/nmm (129). As for the theoretical density: 4.26 g/cm³.

Structure (Quantum ESPRESSO input):
```
&SYSTEM
  ibrav = 0, nat = 8, ntyp = 4
/
ATOMIC_SPECIES
Rb 85.47 Rb.upf
Mg 24.30 Mg.upf
P 30.97 P.upf
Pb 207.20 Pb.upf
CELL_PARAMETERS angstrom
4.4104 0.0000 0.0000
0.0000 4.4104 0.0000
0.0000 0.0000 13.9566
ATOMIC_POSITIONS angstrom
Rb 3.3078 3.3078 3.1299
Rb 1.1026 1.1026 10.8267
Mg 3.3078 1.1026 0.0000
Mg 1.1026 3.3078 0.0000
P 3.3078 3.3078 12.5439
P 1.1026 1.1026 1.4127
Pb 1.1026 3.3078 6.9783
Pb 3.3078 1.1026 6.9783
```

---

Entry 5:
The following is a DFT calculation (PBE) of an optimized crystal structure of MgPPbS2. Values from VASP.

The raw total energy is -3.725 eV/atom. The value obtained for the energy above the most stable polymorph in this dataset is 0.000 eV/atom. Its space group is P4/mmm (123). As for the theoretical density: 4.80 g/cm³. As for the uncorrected formation energy: 69 meV/atom.

Structure (Quantum ESPRESSO input):
```
&SYSTEM
  ibrav = 0, nat = 5, ntyp = 4
/
ATOMIC_SPECIES
Pb 207.20 Pb.upf
P 30.97 P.upf
S 32.06 S.upf
Mg 24.30 Mg.upf
CELL_PARAMETERS angstrom
-3.4079 -1.8079 2.9945
3.3943 -1.7143 2.8279
0.0045 4.1785 2.5277
ATOMIC_POSITIONS angstrom
Pb -0.0045 0.3281 4.1751
P 0.0000 0.0000 0.0000
S 0.0022 2.0892 1.2639
S -1.7039 -0.9039 1.4973
Mg 1.6972 -0.8572 1.4140
```

---

Entry 6:
The following is a DFT calculation (PBE) of an optimized crystal structure of MgP2PbS. Values from VASP.

The raw total energy is -3.107 eV/atom. The value obtained for the energy above the most stable polymorph in this dataset is 0.405 eV/atom. Its space group is P4/mmm (123). As for the theoretical density: 3.84 g/cm³. As for the uncorrected formation energy: 943 meV/atom.

Structure (Quantum ESPRESSO input):
```
&SYSTEM
  ibrav = 0, nat = 5, ntyp = 4
/
ATOMIC_SPECIES
Pb 207.20 Pb.upf
P 30.97 P.upf
S 32.06 S.upf
Mg 24.30 Mg.upf
CELL_PARAMETERS angstrom
5.1933 0.0000 0.0000
0.0000 5.1933 0.0000
0.0000 0.0000 5.2209
ATOMIC_POSITIONS angstrom
Pb 0.0000 0.0000 0.0000
P 0.0000 2.5966 0.0000
P 2.5966 0.0000 0.0000
S 0.0000 0.0000 2.6104
Mg 2.5966 2.5966 2.6104
```

---

Entry 7:
The following is a DFT calculation (PBE) of an optimized crystal structure of MgP2PbS. Values from VASP.

The raw total energy is -3.512 eV/atom. The value obtained for the energy above the most stable polymorph in this dataset is 0.000 eV/atom. Its space group is P4/mmm (123). As for the theoretical density: 3.85 g/cm³. As for the uncorrected formation energy: 538 meV/atom.

Structure (Quantum ESPRESSO input):
```
&SYSTEM
  ibrav = 0, nat = 5, ntyp = 4
/
ATOMIC_SPECIES
Pb 207.20 Pb.upf
P 30.97 P.upf
S 32.06 S.upf
Mg 24.30 Mg.upf
CELL_PARAMETERS angstrom
5.0461 0.0000 0.0000
0.0000 5.0461 0.0000
0.0000 0.0000 5.5121
ATOMIC_POSITIONS angstrom
Pb 2.5231 2.5231 2.7560
P 0.0000 2.5231 0.0000
P 2.5231 0.0000 0.0000
S 0.0000 0.0000 2.7560
Mg 0.0000 0.0000 0.0000
```

---

Entry 8:
The following is a DFT calculation (PBE) of an optimized crystal structure of MgPPbS2. Values from VASP.

The raw total energy is -3.652 eV/atom. The value obtained for the energy above the most stable polymorph in this dataset is 0.073 eV/atom. Its space group is P4/mmm (123). As for the theoretical density: 4.68 g/cm³. As for the uncorrected formation energy: 141 meV/atom.

Structure (Quantum ESPRESSO input):
```
&SYSTEM
  ibrav = 0, nat = 5, ntyp = 4
/
ATOMIC_SPECIES
Pb 207.20 Pb.upf
P 30.97 P.upf
S 32.06 S.upf
Mg 24.30 Mg.upf
CELL_PARAMETERS angstrom
-3.0960 3.2020 -1.9818
-2.7867 -0.2227 3.9938
2.5316 3.6677 1.9709
ATOMIC_POSITIONS angstrom
Pb -1.6756 3.3235 1.9915
P 1.2658 1.8338 0.9855
S -1.3934 -0.1113 1.9969
S -1.5480 1.6010 -0.9909
Mg 0.0000 0.0000 0.0000
```

---

- What is the raw total energy in the seventh record?
  -3.512 eV/atom

---

- Which of these has the highest raw total energy?
  number 6

---

- Look up the theoretical density of the seventh one.
  3.85 g/cm³